[1]
DFT (GGA-PBEsol) results for TbVB4 after structural relaxation.

Computed properties:
Space group: Pbam (55)
E, eV per atom: -7.887
Size of the total moment, μB/f.u.: 0.0
Volume, Å³ per atom: 9.8
ΔE_f, eV per atom: -0.769

abc: 3.4091 5.9831 11.5883
angles: 90.00 90.00 90.00
Positions (direct):
V 0.0000 0.3730 0.9171
B 0.5000 0.3855 0.0473
B 0.5000 0.6360 0.5328
B 0.5000 0.8855 0.4527
V 0.0000 0.6270 0.0829
B 0.5000 0.3640 0.4672
B 0.5000 0.0232 0.6920
Tb 0.0000 0.6241 0.3485
V 0.0000 0.8730 0.5829
B 0.5000 0.7148 0.6856
B 0.5000 0.5232 0.8080
B 0.5000 0.1145 0.5473
Tb 0.0000 0.8759 0.8485
Tb 0.0000 0.1241 0.1515
B 0.5000 0.2148 0.8144
B 0.5000 0.2852 0.3144
Tb 0.0000 0.3759 0.6515
B 0.5000 0.9768 0.3080
B 0.5000 0.4768 0.1920
B 0.5000 0.1360 0.9672
B 0.5000 0.8640 0.0328
B 0.5000 0.6145 0.9527
V 0.0000 0.1270 0.4171
B 0.5000 0.7852 0.1856

---

[2]
DFT (GGA-PBEsol) results for Be4SiOs after structural relaxation.

Computed properties:
Space group: F-43m (216)
Formation energy from raw total energies, eV per formula unit: -2.2
E, eV per atom: -6.025
Size of the total moment, μB/f.u.: 0.0
Volume, Å³ per atom: 9.0

abc: 4.2401 4.2401 4.2401
angles: 60.00 60.00 60.00
Positions (direct):
Be 0.3749 0.3749 0.3749
Be 0.8753 0.3749 0.3749
Be 0.3749 0.8753 0.3749
Be 0.3749 0.3749 0.8753
Si 0.0000 0.0000 0.0000
Os 0.7500 0.7500 0.7500

---

[3]
DFT (GGA-PBEsol) results for ZrFe3Au after structural relaxation.

Computed properties:
Space group: Pm-3m (221)
E, eV per atom: -6.721
Energy above the lowest structure with this stoichiometry, eV/atom: 0.0000
Size of the total moment, μB/f.u.: 7.6
Volume, Å³ per atom: 19.6
ΔE_f, eV per atom: 1.260

abc: 4.6093 4.6093 4.6093
angles: 90.00 90.00 90.00
Positions (direct):
Fe 0.5000 0.0000 0.0000
Fe 0.0000 0.5000 0.0000
Fe 0.0000 0.0000 0.5000
Au 0.0000 0.0000 0.0000
Zr 0.5000 0.5000 0.5000

---

[4]
DFT (GGA-PBEsol) results for Sc2TlAu after structural relaxation.

Computed properties:
Space group: P4/mmm (123)
E, eV per atom: -5.535
Size of the total moment, μB/f.u.: 0.0
Volume, Å³ per atom: 20.6
ΔE_f, eV per atom: -0.594

abc: 3.4041 3.4041 7.1045
angles: 90.00 90.00 90.00
Positions (direct):
Sc 0.0000 0.0000 0.2715
Tl 0.5000 0.5000 0.0000
Sc 0.0000 0.0000 0.7285
Au 0.5000 0.5000 0.5000

---

[5]
DFT (GGA-PBEsol) results for In2TePW after structural relaxation.

Computed properties:
Space group: P4/mmm (123)
Formation energy from raw total energies, eV per formula unit: 5.1
E, eV per atom: -4.794
Size of the total moment, μB/f.u.: 2.8
Volume, Å³ per atom: 28.6

abc: 5.0106 5.3443 5.3443
angles: 90.00 90.00 90.00
Positions (direct):
W 0.0000 0.0000 0.0000
Te 0.5000 0.0000 0.0000
In 0.0000 0.5000 0.0000
P 0.5000 0.5000 0.5000
In 0.0000 0.0000 0.5000

---

[6]
DFT (GGA-PBEsol) results for Li2TaW after structural relaxation.

Computed properties:
Space group: Cmm2 (35)
E, eV per atom: -7.317
Energy above the lowest structure with this stoichiometry, eV/atom: 0.0000
Size of the total moment, μB/f.u.: 0.0
Volume, Å³ per atom: 16.7
ΔE_f, eV per atom: 0.256

abc: 2.7112 2.7112 9.6252
angles: 90.00 90.00 109.02
Positions (direct):
Li 0.5000 0.5000 0.7468
Li 0.0000 0.0000 0.0129
W 0.5000 0.5000 0.2525
Ta 0.0000 0.0000 0.4877

---

[7]
DFT (GGA-PBEsol) results for Eu4As3 after structural relaxation.

Computed properties:
Space group: I-43d (220)
E, eV per atom: -9.519
Size of the total moment, μB/f.u.: 27.0
Volume, Å³ per atom: 25.9
ΔE_f, eV per atom: -1.294

abc: 7.7817 7.7817 7.7817
angles: 109.47 109.47 109.47
Positions (direct):
Eu 0.6380 0.6380 0.1380
Eu 0.1380 0.1380 0.6380
Eu 0.0000 0.5000 0.8620
Eu 0.3620 0.0000 0.0000
As 0.3750 0.6250 0.7500
As 0.1250 0.8750 0.2500
Eu 0.5000 0.3620 0.5000
As 0.7500 0.1250 0.3750
As 0.6250 0.2500 0.8750
As 0.8750 0.7500 0.6250
Eu 0.8620 0.0000 0.0000
As 0.2500 0.3750 0.1250
Eu 0.5000 0.8620 0.5000
Eu 0.0000 0.5000 0.3620

---

[8]
DFT (GGA-PBEsol) results for MgIr2Br after structural relaxation.

Computed properties:
Space group: Fm-3m (225)
Formation energy from raw total energies, eV per formula unit: 3.0
E, eV per atom: -5.051
Energy above the lowest structure with this stoichiometry, eV/atom: 0.1355
Size of the total moment, μB/f.u.: 0.0
Volume, Å³ per atom: 15.7

abc: 4.4630 4.4630 4.4630
angles: 60.00 60.00 60.00
Positions (direct):
Ir 0.7500 0.7500 0.7500
Ir 0.2500 0.2500 0.2500
Br 0.0000 0.0000 0.0000
Mg 0.5000 0.5000 0.5000

---

[9]
DFT (GGA-PBEsol) results for Ca2SiN2 after structural relaxation.

Computed properties:
Space group: P4/mbm (127)
Formation energy from raw total energies, eV per formula unit: -2.3
E, eV per atom: -5.881
Size of the total moment, μB/f.u.: 0.0
Volume, Å³ per atom: 12.8

abc: 3.4300 6.1034 6.1034
angles: 90.00 90.00 90.00
Positions (direct):
N 0.0000 0.6779 0.1779
Ca 0.5000 0.1457 0.6457
Si 0.0000 0.5000 0.5000
Ca 0.5000 0.6457 0.8543
Si 0.0000 0.0000 0.0000
Ca 0.5000 0.8543 0.3543
Ca 0.5000 0.3543 0.1457
N 0.0000 0.8221 0.6779
N 0.0000 0.3221 0.8221
N 0.0000 0.1779 0.3221

---

[10]
DFT (GGA-PBEsol) results for ZrTlRe3 after structural relaxation.

Computed properties:
Space group: Pm-3m (221)
E, eV per atom: -7.494
Size of the total moment, μB/f.u.: 0.0
Volume, Å³ per atom: 22.3
ΔE_f, eV per atom: 2.850

abc: 4.8102 4.8102 4.8102
angles: 90.00 90.00 90.00
Positions (direct):
Re 0.5000 0.0000 0.0000
Re 0.0000 0.0000 0.5000
Re 0.0000 0.5000 0.0000
Zr 0.5000 0.5000 0.5000
Tl 0.0000 0.0000 0.0000

---

[11]
DFT (GGA-PBEsol) results for Mo4C3 after structural relaxation.

Computed properties:
Space group: Pm-3m (221)
E, eV per atom: -10.847
Size of the total moment, μB/f.u.: 0.0
Volume, Å³ per atom: 11.1
ΔE_f, eV per atom: 0.010

abc: 4.2646 4.2646 4.2646
angles: 90.00 90.00 90.00
Positions (direct):
Mo 0.0000 0.0000 0.0000
C 0.0000 0.5000 0.0000
Mo 0.5000 0.5000 0.0000
C 0.0000 0.0000 0.5000
Mo 0.0000 0.5000 0.5000
Mo 0.5000 0.0000 0.5000
C 0.5000 0.0000 0.0000

---

[12]
DFT (GGA-PBEsol) results for CdAg2HS after structural relaxation.

Computed properties:
Space group: P4/mmm (123)
E, eV per atom: -2.449
Size of the total moment, μB/f.u.: 0.0
Volume, Å³ per atom: 23.1

abc: 4.6454 4.6454 5.3418
angles: 90.00 90.00 90.00
Positions (direct):
H 0.5000 0.5000 0.5000
Ag 0.0000 0.5000 0.0000
S 0.0000 0.0000 0.0000
Ag 0.5000 0.0000 0.0000
Cd 0.0000 0.0000 0.5000

---

[13]
DFT (GGA-PBEsol) results for SrEuHg2 after structural relaxation.

Computed properties:
Space group: Fm-3m (225)
E, eV per atom: -3.975
Size of the total moment, μB/f.u.: 7.1
Volume, Å³ per atom: 28.4
ΔE_f, eV per atom: -0.591

abc: 5.4379 5.4379 5.4379
angles: 60.00 60.00 60.00
Positions (direct):
Sr 0.5000 0.5000 0.5000
Hg 0.2500 0.2500 0.2500
Eu 0.0000 0.0000 0.0000
Hg 0.7500 0.7500 0.7500

---

[14]
DFT (GGA-PBEsol) results for Sc4AsW after structural relaxation.

Computed properties:
Space group: F-43m (216)
E, eV per atom: -7.035
Size of the total moment, μB/f.u.: 0.0
Volume, Å³ per atom: 19.4
ΔE_f, eV per atom: 0.521

abc: 5.4798 5.4798 5.4798
angles: 60.00 60.00 60.00
Positions (direct):
Sc 0.8683 0.3772 0.3772
Sc 0.3772 0.3772 0.3772
Sc 0.3772 0.8683 0.3772
W 0.7500 0.7500 0.7500
Sc 0.3772 0.3772 0.8683
As 0.0000 0.0000 0.0000

---

[15]
DFT (GGA-PBEsol) results for BeCrAs2Br after structural relaxation.

Computed properties:
Space group: P4/mmm (123)
Formation energy from raw total energies, eV per formula unit: 3.1
E, eV per atom: -4.637
Size of the total moment, μB/f.u.: 3.5
Volume, Å³ per atom: 19.1

abc: 4.3484 4.3484 5.0616
angles: 90.00 90.00 90.00
Positions (direct):
Br 0.0000 0.0000 0.5000
Cr 0.5000 0.5000 0.5000
Be 0.0000 0.0000 0.0000
As 0.5000 0.0000 0.0000
As 0.0000 0.5000 0.0000

---

[16]
DFT (GGA-PBEsol) results for SrSn2Sb2 after structural relaxation.

Computed properties:
Space group: I4/mmm (139)
Formation energy from raw total energies, eV per formula unit: -1.6
E, eV per atom: -4.211
Size of the total moment, μB/f.u.: 0.0
Volume, Å³ per atom: 30.6

abc: 4.4400 4.4400 8.3705
angles: 105.38 105.38 90.00
Positions (direct):
Sb 0.4064 0.4064 0.8128
Sr 0.0000 0.0000 0.0000
Sb 0.5936 0.5936 0.1872
Sn 0.7500 0.2500 0.5000
Sn 0.2500 0.7500 0.5000

---

[17]
DFT (GGA-PBEsol) results for ScTa2Mo after structural relaxation.

Computed properties:
Space group: Imm2 (44)
E, eV per atom: -10.773
Energy above the lowest structure with this stoichiometry, eV/atom: 0.0024
Size of the total moment, μB/f.u.: 0.0
Volume, Å³ per atom: 17.7
ΔE_f, eV per atom: 0.095

abc: 3.2442 4.6951 5.4519
angles: 115.51 107.31 90.00
Positions (direct):
Mo 0.5104 0.5104 0.0208
Sc 0.7641 0.2641 0.5282
Ta 0.9947 0.9947 0.9893
Ta 0.2309 0.7309 0.4617

---

[18]
DFT (GGA-PBEsol) results for TaMn after structural relaxation.

Computed properties:
Space group: Cmmm (65)
E, eV per atom: -11.067
Size of the total moment, μB/f.u.: 0.4
Volume, Å³ per atom: 14.1
ΔE_f, eV per atom: 0.089

abc: 2.7561 2.7561 3.9922
angles: 90.00 90.00 111.36
Positions (direct):
Mn 0.0000 0.0000 0.5000
Ta 0.5000 0.5000 0.0000

---

[19]
DFT (GGA-PBEsol) results for KMgAs2 after structural relaxation.

Computed properties:
Space group: P4/mmm (123)
E, eV per atom: -3.544
Size of the total moment, μB/f.u.: 0.0
Volume, Å³ per atom: 21.5
ΔE_f, eV per atom: -0.278

abc: 3.1312 3.1312 8.7847
angles: 90.00 90.00 90.00
Positions (direct):
Mg 0.5000 0.5000 0.5000
As 0.0000 0.0000 0.2870
K 0.5000 0.5000 0.0000
As 0.0000 0.0000 0.7130

---

[20]
DFT (GGA-PBEsol) results for KZrMo2 after structural relaxation.

Computed properties:
Space group: P4/mmm (123)
E, eV per atom: -7.014
Energy above the lowest structure with this stoichiometry, eV/atom: 0.5460
Size of the total moment, μB/f.u.: 0.0
Volume, Å³ per atom: 18.8
ΔE_f, eV per atom: 1.426

abc: 3.8752 3.8752 5.0141
angles: 90.00 90.00 90.00
Positions (direct):
Mo 0.5000 0.0000 0.0000
Mo 0.0000 0.5000 0.0000
Zr 0.5000 0.5000 0.5000
K 0.0000 0.0000 0.5000